(1)
Material: LaSnPb
Method: DFT, PBE
State: optimized geometry

Summary:
- Energy relative to the lowest polymorph listed for this composition: 0.128 eV/atom
- ρ: 8.31 g cm⁻³
- M_tot: 0.0 Bohr magnetons per cell
- Formation enthalpy at 0 K: -450.5 meV/atom

a b c (Å): 6.1908 6.6887 5.4483
angles (deg): 90.00 124.62 90.00
Atoms (fractional coordinates):
La 0.3214 0.2500 0.1428
La 0.6786 0.7500 0.8572
Pb 0.6840 0.2500 0.8680
Pb 0.3160 0.7500 0.1320
Sn 0.0000 0.5000 0.5000
Sn 0.0000 0.0000 0.5000

(2)
Material: LiSm2Si
Method: DFT, PBE
State: optimized geometry

Summary:
- ρ: 5.73 g cm⁻³
- M_tot: 0.0 Bohr magnetons per cell
- Energy relative to the elements, uncorrected: -0.367 eV/atom

a b c (Å): 4.4740 6.2747 7.2683
angles (deg): 107.58 90.00 90.00
Atoms (fractional coordinates):
Li 0.7500 0.6028 0.7007
Li 0.2500 0.3972 0.2993
Sm 0.2500 0.7576 0.0684
Sm 0.2500 0.8554 0.6008
Sm 0.7500 0.2424 0.9316
Sm 0.7500 0.1446 0.3992
Si 0.7500 0.6322 0.3093
Si 0.2500 0.3678 0.6907

(3)
Material: LaSm2Cu2
Method: DFT, PBE
State: optimized geometry

Summary:
- Energy relative to the lowest polymorph listed for this composition: 0.000 eV/atom
- ρ: 7.41 g cm⁻³
- M_tot: 0.0 Bohr magnetons per cell
- Formation enthalpy at 0 K: -99.6 meV/atom

a b c (Å): 3.6172 5.2428 13.5214
angles (deg): 90.00 97.68 90.00
Atoms (fractional coordinates):
La 0.8601 0.7500 0.7190
La 0.1399 0.2500 0.2810
Cu 0.5423 0.2500 0.0856
Cu 0.6401 0.7500 0.2793
Cu 0.3599 0.2500 0.7207
Cu 0.4577 0.7500 0.9144
Sm 0.2298 0.7500 0.4588
Sm 0.0473 0.7500 0.0935
Sm 0.7702 0.2500 0.5412
Sm 0.9527 0.2500 0.9065

(4)
Material: TlAgPd14
Method: DFT, PBE
State: optimized geometry

Summary:
- ρ: 11.72 g cm⁻³
- M_tot: 0.0 Bohr magnetons per cell
- Formation enthalpy at 0 K: -23.6 meV/atom

a b c (Å): 5.6263 5.6263 9.2795
angles (deg): 90.00 90.00 119.67
Atoms (fractional coordinates):
Pd 0.3749 0.1238 0.2455
Pd 0.2081 0.7919 0.0000
Pd 0.3749 0.1238 0.7545
Pd 0.8742 0.1258 0.2479
Pd 0.0424 0.4577 0.5000
Pd 0.8762 0.6251 0.2455
Pd 0.7081 0.2919 0.0000
Pd 0.3740 0.6260 0.7529
Pd 0.7080 0.7930 0.0000
Pd 0.5423 0.9576 0.5000
Pd 0.8762 0.6251 0.7545
Pd 0.2070 0.2920 0.0000
Pd 0.3740 0.6260 0.2471
Pd 0.8742 0.1258 0.7521
Tl 0.5430 0.4570 0.5000
Ag 0.0425 0.9575 0.5000